1.
A plane-wave DFT calculation with PBE-GGA was carried out for a relaxed structure of B11Rh18.

Lattice parameters (Å, degrees): 5.5363 6.9012 9.1579 110.73 94.62 90.50
With the nearest neighbours (Å) after each atom.
Atoms (fractional coordinates):
B 0.0000 0.0000 0.0000  6 Rh 2.13-2.23
B 0.0379 0.7596 0.6246  6 Rh 2.11-2.26
B 0.1125 0.4798 0.0418  1 B 1.91
B 0.2239 0.1458 0.5434  1 B 1.94, 1 Rh 2.07
B 0.3783 0.4326 0.3659  1 B 1.89, 1 Rh 2.11
B 0.4799 0.1488 0.8760  6 Rh 2.15-2.24
B 0.5555 0.6135 0.7605  6 Rh 2.15-2.25
B 0.6715 0.3425 0.2760  1 B 1.89
B 0.8125 0.6136 0.0888  2 B 1.90-1.91
B 0.8710 0.8527 0.2736  1 B 1.90, 2 Rh 2.04-2.09
B 0.9273 0.2886 0.6010  1 B 1.94, 2 Rh 2.16
Rh 0.0589 0.5762 0.3020  4 B 2.17-2.38
Rh 0.1213 0.1978 0.7836  3 B 2.17-2.22
Rh 0.1709 0.8300 0.1311  3 B 2.13-2.27
Rh 0.2512 0.4818 0.5869  5 B 2.11-2.26
Rh 0.2758 0.8540 0.8387  4 B 2.16-2.25
Rh 0.2937 0.2331 0.0965  4 B 2.17-2.37
Rh 0.3537 0.8650 0.5438  2 B 2.07-2.17
Rh 0.4422 0.5262 0.9488  3 B 2.14-2.28
Rh 0.4709 0.1290 0.3598  3 B 2.14-2.22
Rh 0.5550 0.6405 0.2719  4 B 2.17-2.27
Rh 0.5906 0.2390 0.6883  3 B 2.15-2.29
Rh 0.6721 0.9058 0.0882  3 B 2.09-2.23
Rh 0.7438 0.5280 0.5401  5 B 2.16-2.41
Rh 0.7555 0.9071 0.7915  4 B 2.14-2.26
Rh 0.7864 0.2786 0.0475  5 B 2.13-2.28
Rh 0.8604 0.9423 0.5104  3 B 2.04-2.25
Rh 0.9147 0.5671 0.8544  3 B 2.17-2.22
Rh 0.9695 0.1808 0.3384  4 B 2.15-2.34

Computed properties:
D(E_F) ... 21.313 states/eV/cell
Magnetization ... 0.000 μB/atom
Calculated total energy ... -214.4 eV/f.u.


2.
A plane-wave DFT calculation with PBE-GGA was carried out for a relaxed structure of BRh2.

Lattice parameters (Å, degrees): 2.8653 2.8653 5.0564 90.00 90.00 120.00
With the nearest neighbours (Å) after each atom.
Atoms (fractional coordinates):
B 0.0000 0.0000 0.0000  6 Rh 2.12
Rh 0.3333 0.6667 0.2635  3 B 2.12
Rh 0.6667 0.3333 0.7365  3 B 2.12

Computed properties:
D(E_F) ... 2.921 states/eV/cell
Magnetization ... 0.000 μB/atom
Calculated total energy ... -21.9 eV/f.u.


3.
A plane-wave DFT calculation with PBE-GGA was carried out for a relaxed structure of B2Rh13.

Lattice parameters (Å, degrees): 4.8211 6.2351 7.4224 65.72 89.41 82.48
With the nearest neighbours (Å) after each atom.
Atoms (fractional coordinates):
B 0.1993 0.3357 0.2885  6 Rh 2.04-2.13
B 0.8007 0.6643 0.7115  6 Rh 2.04-2.13
Rh 0.0000 0.5000 0.0000  2 B 2.13
Rh 0.0643 0.0248 0.3079  1 B 2.07
Rh 0.1749 0.5713 0.6100  1 B 2.05
Rh 0.2321 0.1115 0.9258  12 Rh 2.70-2.84
Rh 0.3096 0.6701 0.2243  1 B 2.08
Rh 0.4001 0.1776 0.5607  1 B 2.04
Rh 0.4504 0.7338 0.8526  1 B 2.07
Rh 0.5496 0.2662 0.1474  1 B 2.07
Rh 0.5999 0.8224 0.4393  1 B 2.04
Rh 0.6904 0.3299 0.7757  1 B 2.08
Rh 0.7679 0.8885 0.0742  12 Rh 2.70-2.84
Rh 0.8251 0.4287 0.3900  1 B 2.05
Rh 0.9357 0.9752 0.6921  1 B 2.07

Computed properties:
D(E_F) ... 22.585 states/eV/cell
Magnetization ... 0.000 μB/atom
Calculated total energy ... -109.6 eV/f.u.


4.
A plane-wave DFT calculation with PBE-GGA was carried out for a relaxed structure of B2Rh5.

Lattice parameters (Å, degrees): 6.7496 6.7496 5.4798 96.56 96.56 42.67
With the nearest neighbours (Å) after each atom.
Atoms (fractional coordinates):
B 0.0855 0.6918 0.9248  6 Rh 2.15-2.24
B 0.3082 0.9145 0.5752  6 Rh 2.15-2.24
B 0.6918 0.0855 0.4248  6 Rh 2.15-2.24
B 0.9145 0.3082 0.0752  6 Rh 2.15-2.24
Rh 0.0784 0.9216 0.2500  4 B 2.21-2.24
Rh 0.1498 0.2817 0.8103  2 B 2.15-2.17
Rh 0.2817 0.1498 0.3103  2 B 2.15-2.17
Rh 0.3062 0.5021 0.5830  2 B 2.15-2.16
Rh 0.4979 0.6938 0.9170  2 B 2.15-2.16
Rh 0.5021 0.3062 0.0830  2 B 2.15-2.16
Rh 0.6938 0.4979 0.4170  2 B 2.15-2.16
Rh 0.7183 0.8502 0.6897  2 B 2.15-2.17
Rh 0.8502 0.7183 0.1897  2 B 2.15-2.17
Rh 0.9216 0.0784 0.7500  4 B 2.21-2.24

Computed properties:
D(E_F) ... 15.748 states/eV/cell
Magnetization ... 0.000 μB/atom
Calculated total energy ... -51.6 eV/f.u.


5.
A plane-wave DFT calculation with PBE-GGA was carried out for a relaxed structure of BRu3Rh.

Lattice parameters (Å, degrees): 4.6529 4.6529 4.6529 90.00 90.00 90.00
With the nearest neighbours (Å) after each atom.
Atoms (fractional coordinates):
B 0.0000 0.0000 0.0000  12 Ru 3.29
Ru 0.0000 0.5000 0.5000  2 Rh 2.33
Ru 0.5000 0.0000 0.5000  2 Rh 2.33
Ru 0.5000 0.5000 0.0000  2 Rh 2.33
Rh 0.5000 0.5000 0.5000  6 Ru 2.33

Computed properties:
D(E_F) ... 10.702 states/eV/cell
Magnetization ... 0.552 μB/atom
Calculated total energy ... -28.4 eV/f.u.


6.
A plane-wave DFT calculation with PBE-GGA was carried out for a relaxed structure of BRu2Rh.

Lattice parameters (Å, degrees): 6.1971 6.1971 6.1971 131.79 131.79 70.57
With the nearest neighbours (Å) after each atom.
Atoms (fractional coordinates):
B 0.0000 0.0000 0.0000  4 Ru 2.01
B 0.7500 0.2500 0.5000  4 Ru 2.01
Ru 0.0577 0.6250 0.9327  2 B 2.01
Ru 0.3750 0.3077 0.4327  2 B 2.01
Ru 0.6923 0.1250 0.0673  2 B 2.01
Ru 0.8750 0.9423 0.5673  2 B 2.01
Rh 0.2500 0.7500 0.5000  4 Ru 2.40
Rh 0.5000 0.5000 0.0000  4 Ru 2.40

Computed properties:
D(E_F) ... 10.699 states/eV/cell
Magnetization ... 0.000 μB/atom
Calculated total energy ... -29.4 eV/f.u.


> What is the D(E_F) in the fourth record?

15.748 states/eV/cell